Here is a relaxed structure of Hf2Zr3N3 from Alexandria via LeMat-Bulk. Energies are from GGA-PBE.

Results
Formation energy without anion corrections (eV per atom): -1.011
Fermi-level density of states (states/eV/f.u.): 5.244
Total moment (μB/cell): 0.00
Energy (eV per atom): -9.826

Cell lengths 3.1746, 8.0230, 10.0575 Å; angles 90.00, 90.00, 101.41 degrees
Fractional positions:
Hf 0.7636 0.5272 0.8843
Zr 0.0910 0.1821 0.9091
N 0.6529 0.3058 0.4604
Hf 0.2364 0.4728 0.1157
N 0.6392 0.2783 0.7500
Zr 0.0910 0.1821 0.5909
N 0.3608 0.7217 0.2500
Hf 0.7636 0.5272 0.6157
N 0.6529 0.3058 0.0396
Zr 0.4131 0.8261 0.7500
Hf 0.2364 0.4728 0.3843
N 0.3471 0.6942 0.5396
Zr 0.9090 0.8179 0.0909
Zr 0.5869 0.1739 0.2500
N 0.3471 0.6942 0.9604
Zr 0.9090 0.8179 0.4091